VASP calculation (PBE-GGA) on Pr2AlO4 after structural relaxation.

Lattice parameters (Å, degrees): 6.629 6.629 6.629 60.00 60.00 60.00
Element x y z (fractional)
Pr (0.000, 0.000, 0.000)
Pr (0.000, 0.000, 0.500)
Pr (0.000, 0.500, 0.000)
Pr (0.500, 0.000, 0.000)
Al (0.375, 0.375, 0.375)
Al (0.625, 0.625, 0.625)
O (0.263, 0.263, 0.263)
O (0.263, 0.263, 0.710)
O (0.263, 0.710, 0.263)
O (0.290, 0.737, 0.737)
O (0.710, 0.263, 0.263)
O (0.737, 0.290, 0.737)
O (0.737, 0.737, 0.290)
O (0.737, 0.737, 0.737)

The calculation puts the raw total energy at -7.597 eV per atom.